The following is a PBE calculation of a relaxed Sr3Pm3ZnSe8 crystal, from Alexandria via LeMat-Bulk.

Lattice parameters (Å, degrees): 8.6641 8.6641 8.6641 58.41 58.41 58.41
Element x y z (fractional)
Sr 0.0000 0.5000 0.5000
Sr 0.5000 0.0000 0.5000
Sr 0.5000 0.5000 0.0000
Pm 0.0000 0.0000 0.5000
Pm 0.0000 0.5000 0.0000
Pm 0.5000 0.0000 0.0000
Zn 0.5000 0.5000 0.5000
Se 0.2460 0.2460 0.2460
Se 0.2558 0.7325 0.7325
Se 0.2675 0.2675 0.7442
Se 0.2675 0.7442 0.2675
Se 0.7325 0.2558 0.7325
Se 0.7325 0.7325 0.2558
Se 0.7442 0.2675 0.2675
Se 0.7540 0.7540 0.7540

ΔE_f (raw) ... -1.710 eV per atom

The following is a PBE calculation of a relaxed PmTaSe2 crystal, from Alexandria via LeMat-Bulk.

Lattice parameters (Å, degrees): 3.4938 3.4938 28.0661 90.00 90.00 120.00
Element x y z (fractional)
Pm 0.0000 0.0000 0.0000
Pm 0.3333 0.6667 0.6667
Pm 0.6667 0.3333 0.3333
Ta 0.0000 0.0000 0.5000
Ta 0.3333 0.6667 0.1667
Ta 0.6667 0.3333 0.8333
Se 0.0000 0.0000 0.1063
Se 0.0000 0.0000 0.8937
Se 0.3333 0.6667 0.5604
Se 0.3333 0.6667 0.7730
Se 0.6667 0.3333 0.2270
Se 0.6667 0.3333 0.4396

ΔE_f (raw) ... -0.588 eV per atom

The following is a PBE calculation of a relaxed Pm2TaSe6 crystal, from Alexandria via LeMat-Bulk.

Lattice parameters (Å, degrees): 6.5172 7.6563 11.1305 90.00 124.22 90.00
Element x y z (fractional)
Pm 0.2088 0.1195 0.2475
Pm 0.2088 0.3805 0.7475
Pm 0.7912 0.6195 0.2525
Pm 0.7912 0.8805 0.7525
Ta 0.5000 0.0000 0.0000
Ta 0.5000 0.5000 0.5000
Se 0.1085 0.1701 0.9419
Se 0.1085 0.3299 0.4419
Se 0.2904 0.6954 0.9450
Se 0.2904 0.8046 0.4450
Se 0.3485 0.0214 0.7316
Se 0.3485 0.4786 0.2316
Se 0.6515 0.5214 0.7684
Se 0.6515 0.9786 0.2684
Se 0.7096 0.1954 0.5550
Se 0.7096 0.3046 0.0550
Se 0.8915 0.6701 0.5581
Se 0.8915 0.8299 0.0581

ΔE_f (raw) ... -1.257 eV per atom

The following is a PBE calculation of a relaxed PmTaSe3 crystal, from Alexandria via LeMat-Bulk.

Lattice parameters (Å, degrees): 7.6560 7.6560 8.4649 92.56 92.56 28.22
Element x y z (fractional)
Pm 0.1028 0.1028 0.3962
Pm 0.8972 0.8972 0.6038
Ta 0.2926 0.2926 0.1218
Ta 0.7074 0.7074 0.8782
Se 0.1219 0.1219 0.0320
Se 0.2478 0.2478 0.6653
Se 0.4442 0.4442 0.3297
Se 0.5558 0.5558 0.6703
Se 0.7522 0.7522 0.3347
Se 0.8781 0.8781 0.9680

ΔE_f (raw) ... -1.283 eV per atom

The following is a PBE calculation of a relaxed Pm6TaSe12 crystal, from Alexandria via LeMat-Bulk.

Lattice parameters (Å, degrees): 8.2658 8.2658 8.2658 98.63 98.63 98.63
Element x y z (fractional)
Pm 0.1355 0.3041 0.6390
Pm 0.3041 0.6390 0.1355
Pm 0.3610 0.8645 0.6959
Pm 0.6390 0.1355 0.3041
Pm 0.6959 0.3610 0.8645
Pm 0.8645 0.6959 0.3610
Ta 0.0000 0.0000 0.0000
Se 0.0179 0.9370 0.6869
Se 0.0630 0.3131 0.9821
Se 0.1795 0.5780 0.4339
Se 0.3131 0.9821 0.0630
Se 0.4220 0.5661 0.8205
Se 0.4339 0.1795 0.5780
Se 0.5661 0.8205 0.4220
Se 0.5780 0.4339 0.1795
Se 0.6869 0.0179 0.9370
Se 0.8205 0.4220 0.5661
Se 0.9370 0.6869 0.0179
Se 0.9821 0.0630 0.3131

ΔE_f (raw) ... -1.551 eV per atom

The following is a PBE calculation of a relaxed Pm3TaSe6 crystal, from Alexandria via LeMat-Bulk.

Lattice parameters (Å, degrees): 9.1196 9.1196 6.9165 90.00 90.00 101.80
Element x y z (fractional)
Pm 0.0932 0.9068 0.5000
Pm 0.2300 0.4166 0.4034
Pm 0.4166 0.2300 0.9034
Pm 0.5834 0.7700 0.4034
Pm 0.7700 0.5834 0.9034
Pm 0.9068 0.0932 0.0000
Ta 0.3073 0.6927 0.8503
Ta 0.6927 0.3073 0.3503
Se 0.0677 0.5990 0.6853
Se 0.1290 0.1967 0.7022
Se 0.1967 0.1290 0.2022
Se 0.2782 0.7218 0.2036
Se 0.4010 0.9323 0.6853
Se 0.4714 0.5286 0.7088
Se 0.5286 0.4714 0.2088
Se 0.5990 0.0677 0.1853
Se 0.7218 0.2782 0.7036
Se 0.8033 0.8710 0.7022
Se 0.8710 0.8033 0.2022
Se 0.9323 0.4010 0.1853

ΔE_f (raw) ... -1.410 eV per atom

The following is a PBE calculation of a relaxed Tb4Pm3Se8 crystal, from Alexandria via LeMat-Bulk.

Lattice parameters (Å, degrees): 8.2609 8.2609 8.2494 119.93 119.93 90.03
Element x y z (fractional)
Tb 0.0000 0.0000 0.0000
Tb 0.0000 0.0000 0.5000
Tb 0.0000 0.5000 0.0000
Tb 0.5000 0.0000 0.0000
Pm 0.0000 0.5000 0.5000
Pm 0.5000 0.0000 0.5000
Pm 0.5000 0.5000 0.5000
Se 0.2472 0.7528 0.5000
Se 0.2478 0.2478 0.5013
Se 0.2484 0.2484 0.9943
Se 0.2509 0.7491 0.0000
Se 0.7491 0.2509 0.0000
Se 0.7516 0.7516 0.0057
Se 0.7522 0.7522 0.4987
Se 0.7528 0.2472 0.5000

ΔE_f (raw) ... -1.859 eV per atom

The following is a PBE calculation of a relaxed Tb4PmSe7 crystal, from Alexandria via LeMat-Bulk.

Lattice parameters (Å, degrees): 7.0625 7.0625 12.2956 103.76 103.76 32.90
Element x y z (fractional)
Tb 0.0000 0.0000 0.0000
Tb 0.1870 0.1870 0.7667
Tb 0.5878 0.5878 0.3941
Tb 0.8877 0.8877 0.5814
Pm 0.7742 0.7742 0.1588
Se 0.1410 0.1410 0.2295
Se 0.2285 0.2285 0.5305
Se 0.3886 0.3886 0.0763
Se 0.5471 0.5471 0.6302
Se 0.6267 0.6267 0.9283
Se 0.8459 0.8459 0.7952
Se 0.9296 0.9296 0.3679

ΔE_f (raw) ... -1.866 eV per atom

The following is a PBE calculation of a relaxed TbPm3Se6 crystal, from Alexandria via LeMat-Bulk.

Lattice parameters (Å, degrees): 8.5685 8.5685 8.5685 91.12 91.12 91.12
Element x y z (fractional)
Tb 0.0000 0.0000 0.0000
Tb 0.5000 0.5000 0.5000
Pm 0.0697 0.7467 0.5786
Pm 0.2533 0.4214 0.9303
Pm 0.4214 0.9303 0.2533
Pm 0.5786 0.0697 0.7467
Pm 0.7467 0.5786 0.0697
Pm 0.9303 0.2533 0.4214
Se 0.0386 0.6835 0.9097
Se 0.0903 0.9614 0.3165
Se 0.1875 0.4177 0.5882
Se 0.3165 0.0903 0.9614
Se 0.4118 0.8125 0.5823
Se 0.4177 0.5882 0.1875
Se 0.5823 0.4118 0.8125
Se 0.5882 0.1875 0.4177
Se 0.6835 0.9097 0.0386
Se 0.8125 0.5823 0.4118
Se 0.9097 0.0386 0.6835
Se 0.9614 0.3165 0.0903

ΔE_f (raw) ... -1.864 eV per atom

The following is a PBE calculation of a relaxed Tb2PmSe4 crystal, from Alexandria via LeMat-Bulk.

Lattice parameters (Å, degrees): 7.0704 7.0704 13.9066 90.00 90.00 146.92
Element x y z (fractional)
Tb 0.1302 0.8698 0.5688
Tb 0.1302 0.8698 0.9312
Tb 0.8698 0.1302 0.0688
Tb 0.8698 0.1302 0.4312
Pm 0.3746 0.6254 0.7500
Pm 0.6254 0.3746 0.2500
Se 0.0345 0.9655 0.7500
Se 0.2248 0.7752 0.1209
Se 0.2248 0.7752 0.3791
Se 0.5000 0.5000 0.0000
Se 0.5000 0.5000 0.5000
Se 0.7752 0.2248 0.6209
Se 0.7752 0.2248 0.8791
Se 0.9655 0.0345 0.2500

ΔE_f (raw) ... -1.865 eV per atom

The following is a PBE calculation of a relaxed Tb2PmSe3 crystal, from Alexandria via LeMat-Bulk.

Lattice parameters (Å, degrees): 4.1418 5.8270 12.3820 90.00 90.00 90.00
Element x y z (fractional)
Tb 0.0000 0.0000 0.1618
Tb 0.0000 0.0000 0.8382
Tb 0.5000 0.5000 0.3382
Tb 0.5000 0.5000 0.6618
Pm 0.0000 0.0000 0.5000
Pm 0.5000 0.5000 0.0000
Se 0.0000 0.5000 0.1730
Se 0.0000 0.5000 0.5000
Se 0.0000 0.5000 0.8270
Se 0.5000 0.0000 0.0000
Se 0.5000 0.0000 0.3270
Se 0.5000 0.0000 0.6730

ΔE_f (raw) ... -1.791 eV per atom

The following is a PBE calculation of a relaxed TbPmSe crystal, from Alexandria via LeMat-Bulk.

Lattice parameters (Å, degrees): 3.9232 3.9232 6.6618 90.00 90.00 120.00
Element x y z (fractional)
Tb 0.0000 0.0000 0.0000
Pm 0.3333 0.6667 0.5531
Se 0.6667 0.3333 0.2687

ΔE_f (raw) ... -1.115 eV per atom

Repeat the third record exactly.
The following is a PBE calculation of a relaxed Pm2TaSe6 crystal, from Alexandria via LeMat-Bulk.

Lattice parameters (Å, degrees): 6.5172 7.6563 11.1305 90.00 124.22 90.00
Element x y z (fractional)
Pm 0.2088 0.1195 0.2475
Pm 0.2088 0.3805 0.7475
Pm 0.7912 0.6195 0.2525
Pm 0.7912 0.8805 0.7525
Ta 0.5000 0.0000 0.0000
Ta 0.5000 0.5000 0.5000
Se 0.1085 0.1701 0.9419
Se 0.1085 0.3299 0.4419
Se 0.2904 0.6954 0.9450
Se 0.2904 0.8046 0.4450
Se 0.3485 0.0214 0.7316
Se 0.3485 0.4786 0.2316
Se 0.6515 0.5214 0.7684
Se 0.6515 0.9786 0.2684
Se 0.7096 0.1954 0.5550
Se 0.7096 0.3046 0.0550
Se 0.8915 0.6701 0.5581
Se 0.8915 0.8299 0.0581

ΔE_f (raw) ... -1.257 eV per atom

> Which formula does entry 1 have?

Sr3Pm3ZnSe8